Material: LiInCuBi
Method: DFT, PBE-GGA
State: optimized geometry

The calculation puts the volume at 20.8 Å³ per atom. For the total energy, the calculation gives -3.21 eV/atom. The crystal system is cubic.

The space group is F-43m (No. 216) and the conventional cell measures 6.931, 6.931 and 6.931 Å, with angles of 90.00, 90.00 and 90.00 degrees. The distinct sites, in fractional coordinates, are Li at (0.000, 0.000, 0.000), In at (0.250, 0.250, 0.250), Cu at (0.000, 0.000, 0.500) and Bi at (0.250, 0.250, 0.750).

Material: Mn2InCuBi
Method: DFT, PBE-GGA
State: optimized geometry

The calculation puts the volume at 22.2 Å³ per atom. For the total energy, the calculation gives -5.28 eV/atom. The crystal system is tetragonal.

The space group is P4/mmm (No. 123) and the conventional cell measures 4.792, 4.792 and 4.833 Å, with angles of 90.00, 90.00 and 90.00 degrees. The distinct sites, in fractional coordinates, are Mn at (0.000, 0.500, 0.000), In at (0.000, 0.000, 0.500), Cu at (0.000, 0.000, 0.000) and Bi at (0.500, 0.500, 0.500).